A plane-wave DFT calculation with GGA-PBE was carried out for a relaxed MnHgPBr crystal.

a = 3.7579 Å, b = 3.7579 Å, c = 21.3918 Å
α = 90.00°, β = 90.00°, γ = 120.00°
Space group R3m (No. 160, hexagonal axes)
Unique sites:
Mn: 0.0000 0.0000 0.0000 (multiplicity 3)
Hg: 0.0000 0.0000 0.8786 (multiplicity 3)
P: 0.0000 0.0000 0.6549 (multiplicity 3)
Br: 0.0000 0.0000 0.1140 (multiplicity 3)

Computed properties:
Polymorph energy (0 for the lowest one)   152 meV per atom
V   21.8 Å³ per atom
ΔE_f (raw)   -33 meV/atom


A plane-wave DFT calculation with GGA-PBE was carried out for a relaxed PuPaGaGe crystal.

a = 7.097 Å, b = 7.097 Å, c = 7.097 Å
α = 90.00°, β = 90.00°, γ = 90.00°
Space group F-43m (No. 216)
Unique sites:
Pu: 0.000 0.000 0.000 (multiplicity 4)
Pa: 0.000 0.000 0.500 (multiplicity 4)
Ga: 0.250 0.250 0.750 (multiplicity 4)
Ge: 0.250 0.250 0.250 (multiplicity 4)

Computed properties:
Polymorph energy (0 for the lowest one)   129 meV per atom
V   22.3 Å³ per atom
E_form   -0.24 eV per atom


A plane-wave DFT calculation with GGA-PBE was carried out for a relaxed TaBeSb2 crystal.

a = 9.775 Å, b = 3.598 Å, c = 4.794 Å
α = 90.00°, β = 98.39°, γ = 90.00°
Space group Cm (No. 8)
Unique sites:
Ta: 0.000 0.000 0.000 (multiplicity 2)
Be: 0.202 0.500 0.184 (multiplicity 2)
Sb: 0.025 0.500 0.485 (multiplicity 2)
Sb: 0.272 0.000 0.881 (multiplicity 2)

Computed properties:
V   20.9 Å³ per atom
ΔE_f (raw)   395 meV/atom


A plane-wave DFT calculation with GGA-PBE was carried out for a relaxed RbBe2CdCl8 crystal.

a = 6.2282 Å, b = 6.2282 Å, c = 27.6001 Å
α = 90.00°, β = 90.00°, γ = 120.00°
Space group R-3 (No. 148, hexagonal axes)
Unique sites:
Rb: 0.0000 0.0000 0.0000 (multiplicity 3)
Be: 0.0000 0.0000 0.2445 (multiplicity 6)
Cd: 0.0000 0.0000 0.5000 (multiplicity 3)
Cl: 0.0000 0.0000 0.3178 (multiplicity 6)
Cl: 0.0065 0.6914 0.7768 (multiplicity 18)

Computed properties:
V   25.8 Å³ per atom
ΔE_f (raw)   -1239 meV/atom